1.
Computed, not measured: a relaxed YTlTc2 crystal at the PBE level of DFT.

Properties
E_form: 0.2374 eV per atom
excess energy over the best structure of this formula in the dataset: 190 meV per atom
M_tot: 0.00 μB per formula unit
DFT total energy: -28.613 eV per cell

Unit cell a=5.161 b=5.161 c=4.941 alpha=61.40 beta=61.40 gamma=47.16
Element x y z (fractional)
Tc  0.292  0.292  0.208
Tc  0.952  0.952  0.048
Tl  0.520  0.520  0.480
Y  0.736  0.736  0.764

2.
Computed, not measured: a relaxed Y6TlTc2 crystal at the PBE level of DFT.

Properties
E_form: -0.1603 eV per atom
M_tot: 0.00 μB per formula unit
DFT total energy: -126.651 eV per cell

Unit cell a=8.583 b=8.583 c=8.583 alpha=105.20 beta=111.63 gamma=111.66
Element x y z (fractional)
Y  0.705  0.023  0.318
Y  0.093  0.283  0.810
Y  0.214  0.235  0.450
Y  0.295  0.977  0.682
Y  0.527  0.717  0.810
Y  0.786  0.235  0.021
Y  0.705  0.388  0.682
Y  0.907  0.717  0.190
Y  0.473  0.283  0.190
Y  0.214  0.765  0.979
Y  0.295  0.612  0.318
Y  0.786  0.765  0.550
Tc  0.500  0.614  0.114
Tc  0.500  0.386  0.886
Tc  0.628  0.000  0.628
Tc  0.372  0.000  0.372
Tl  0.000  0.000  0.000
Tl  0.000  0.500  0.500

3.
Computed, not measured: a relaxed YTl2Tc crystal at the PBE level of DFT.

Properties
E_form: 0.1820 eV per atom
excess energy over the best structure of this formula in the dataset: 19 meV per atom
M_tot: 0.87 μB per formula unit
DFT total energy: -20.834 eV per cell

Unit cell a=5.391 b=5.391 c=5.391 alpha=130.42 beta=130.42 gamma=72.73
Element x y z (fractional)
Y  0.250  0.750  0.500
Tl  0.500  0.500  0.000
Tl  0.000  0.000  0.000
Tc  0.750  0.250  0.500

4.
Computed, not measured: a relaxed YTl2Tc crystal at the PBE level of DFT.

Properties
E_form: 0.1631 eV per atom
excess energy over the best structure of this formula in the dataset: 0 meV per atom
M_tot: 0.00 μB per formula unit
DFT total energy: -20.910 eV per cell

Unit cell a=5.342 b=5.342 c=5.168 alpha=72.03 beta=72.03 gamma=40.93
Element x y z (fractional)
Y  0.750  0.750  0.750
Tc  0.250  0.250  0.250
Tl  0.983  0.983  0.033
Tl  0.517  0.517  0.467

5.
Computed, not measured: a relaxed YTlTc2 crystal at the PBE level of DFT.

Properties
E_form: 0.3051 eV per atom
excess energy over the best structure of this formula in the dataset: 257 meV per atom
M_tot: 0.00 μB per formula unit
DFT total energy: -28.342 eV per cell

Unit cell a=5.322 b=5.322 c=4.827 alpha=68.13 beta=68.13 gamma=44.12
Element x y z (fractional)
Y  0.750  0.750  0.750
Tl  0.250  0.250  0.250
Tc  0.991  0.991  0.116
Tc  0.509  0.509  0.384

6.
Computed, not measured: a relaxed YTlTc2 crystal at the PBE level of DFT.

Properties
E_form: 0.4146 eV per atom
excess energy over the best structure of this formula in the dataset: 367 meV per atom
M_tot: 0.00 μB per formula unit
DFT total energy: -27.904 eV per cell

Unit cell a=4.241 b=4.263 c=5.996 alpha=44.78 beta=90.00 gamma=90.00
Element x y z (fractional)
Y  0.000  0.000  0.500
Tc  0.000  0.000  0.000
Tc  0.500  0.500  0.000
Tl  0.500  0.500  0.500

7.
Computed, not measured: a relaxed YTl4Tc crystal at the PBE level of DFT.

Properties
E_form: 0.6310 eV per atom
M_tot: 2.00 μB per formula unit
DFT total energy: -22.509 eV per cell

Unit cell a=6.071 b=6.071 c=6.071 alpha=60.00 beta=60.00 gamma=60.00
Element x y z (fractional)
Y  0.750  0.750  0.750
Tl  0.877  0.374  0.374
Tl  0.374  0.374  0.374
Tl  0.374  0.877  0.374
Tl  0.374  0.374  0.877
Tc  0.000  0.000  0.000

8.
Computed, not measured: a relaxed YTl2Tc crystal at the PBE level of DFT.

Properties
E_form: 0.1790 eV per atom
excess energy over the best structure of this formula in the dataset: 16 meV per atom
M_tot: 0.00 μB per formula unit
DFT total energy: -20.847 eV per cell

Unit cell a=5.801 b=5.801 c=5.801 alpha=142.80 beta=128.41 gamma=65.30
Element x y z (fractional)
Tl  0.478  0.478  0.000
Tl  0.022  0.022  0.000
Y  0.750  0.250  0.500
Tc  0.250  0.750  0.500